VASP calculation (PBE-GGA) on a relaxed structure of ZnNi2Pb.

```
data_ZnNi2Pb
_cell_length_a 4.0537
_cell_length_b 4.0537
_cell_length_c 14.2268
_cell_angle_alpha 90.00
_cell_angle_beta 90.00
_cell_angle_gamma 120.00
_symmetry_space_group_name_H-M 'R 3 m'
_symmetry_Int_Tables_number 160
_symmetry_space_group_name_Hall 'R 3 -2"'
loop_
_atom_site_label
_atom_site_type_symbol
_atom_site_fract_x
_atom_site_fract_y
_atom_site_fract_z
Zn1 Zn 0.0000 0.0000 0.0000
Ni1 Ni 0.0000 0.0000 0.2330
Ni2 Ni 0.0000 0.0000 0.6084
Pb1 Pb 0.0000 0.0000 0.7982
```

Computed properties:
M_tot = 0.000 μB per atom
DOS(E_F) = 12.525 states/eV per cell
electronic total energy = -4.00 eV/atom